Record 1
Computed, not measured: a PBEsol-optimized structure of AlSi2W at the meta-GGA SCAN level of DFT.

The structure belongs to space group Pmmm (No. 47); the cell edges are 3.2354, 4.0398 and 4.2657 Å and the angles 90.00°, 90.00° and 90.00°. The distinct sites, in fractional coordinates, are Al at (0.0000, 0.0000, 0.0000), Si at (0.0000, 0.5000, 0.5000), Si at (0.5000, 0.5000, 0.0000) and W at (0.5000, 0.0000, 0.5000).

The value obtained for the total moment is 0.00 μB per cell. The value obtained for the mass density is 8.0 g/cm³. As for the formation energy without anion corrections: 0.292 eV/atom. The calculation puts the total energy at -24.08 eV per atom.

***

Record 2
Computed, not measured: a PBEsol-optimized structure of Al2Ag at the meta-GGA SCAN level of DFT.

The structure belongs to space group P2_1/m (No. 11); the cell edges are 7.9942, 2.8552 and 8.5393 Å and the angles 90.00°, 90.14° and 90.00°. The distinct sites, in fractional coordinates, are Al at (0.1206, 0.2500, 0.4082), Al at (0.3712, 0.7500, 0.9139), Al at (0.3716, 0.7500, 0.5790), Al at (0.3743, 0.7500, 0.2478), Ag at (0.1289, 0.2500, 0.7397) and Ag at (0.1333, 0.2500, 0.0814).

The calculation puts the formation energy at -37 meV per atom. The value obtained for the total moment is 0.00 μB per cell. The value obtained for the mass density is 5.5 g/cm³. The calculation puts the total energy at -15.66 eV per atom.

***

Record 3
Computed, not measured: a PBEsol-optimized structure of KYRu2 at the meta-GGA SCAN level of DFT.

The structure belongs to space group P4mm (No. 99); the cell edges are 3.3467, 3.3467 and 8.9774 Å and the angles 90.00°, 90.00° and 90.00°. The distinct sites, in fractional coordinates, are K at (0.0000, 0.0000, 0.0000), Y at (0.5000, 0.5000, 0.5846), Ru at (0.0000, 0.0000, 0.3830) and Ru at (0.5000, 0.5000, 0.2895).

The calculation puts the formation energy at 401 meV per atom. The value obtained for the total moment is 0.00 μB per cell. The value obtained for the mass density is 5.5 g/cm³. The calculation puts the total energy at -26.05 eV per atom.

***

Record 4
Computed, not measured: a PBEsol-optimized structure of Sr4Ca2TlCu4PbO14 at the meta-GGA SCAN level of DFT.

The structure belongs to space group I4/mmm (No. 139); the cell edges are 5.2914, 5.2914 and 24.1061 Å and the angles 90.00°, 90.00° and 90.00°. The distinct sites, in fractional coordinates, are Sr at (0.0000, 0.5000, 0.1078), Ca at (0.0000, 0.5000, 0.2500), Tl at (0.0000, 0.0000, 0.0000), Cu at (0.0000, 0.0000, 0.1803), Cu at (0.0000, 0.0000, 0.3207), Pb at (0.0000, 0.0000, 0.5000), O at (0.0000, 0.0000, 0.0859), O at (0.0000, 0.0000, 0.4122), O at (0.0000, 0.5000, 0.0000) and O at (0.2498, 0.2498, 0.1856).

The value obtained for the total moment is 0.00 μB per cell. The value obtained for the mass density is 6.5 g/cm³. As for the formation energy without anion corrections: -1.919 eV/atom. The calculation puts the total energy at -17.48 eV per atom.